1.
Crystalline CaLuInPd at its relaxed geometry, computed with PBE-GGA.

Computed properties:
The crystal system is cubic. As for the calculated formation energy: -0.55 eV/atom. Its density is 7.6 g/cm³. Its total magnetic moment is 0.0 μB/cell.

a = 7.241 Å, b = 7.241 Å, c = 7.241 Å
α = 90.00°, β = 90.00°, γ = 90.00°
Atoms (fractional coordinates):
Ca 0.000 0.000 0.000
Ca 0.000 0.500 0.500
Ca 0.500 0.000 0.500
Ca 0.500 0.500 0.000
Lu 0.000 0.000 0.500
Lu 0.000 0.500 0.000
Lu 0.500 0.000 0.000
Lu 0.500 0.500 0.500
In 0.250 0.250 0.750
In 0.250 0.750 0.250
In 0.750 0.250 0.250
In 0.750 0.750 0.750
Pd 0.250 0.250 0.250
Pd 0.250 0.750 0.750
Pd 0.750 0.250 0.750
Pd 0.750 0.750 0.250

***

2.
Crystalline CaMg3 at its relaxed geometry, computed with PBE-GGA.

Computed properties:
The crystal system is cubic. As for the calculated formation energy: -0.04 eV/atom. Its density is 1.7 g/cm³. Its total magnetic moment is 0.0 μB/cell.

a = 4.775 Å, b = 4.775 Å, c = 4.775 Å
α = 90.00°, β = 90.00°, γ = 90.00°
Atoms (fractional coordinates):
Ca 0.000 0.000 0.000
Mg 0.000 0.500 0.500
Mg 0.500 0.000 0.500
Mg 0.500 0.500 0.000

***

3.
Crystalline NbSnBr2 at its relaxed geometry, computed with PBE-GGA.

Computed properties:
The crystal system is trigonal. As for the energy above the most stable polymorph in this dataset: 0 kJ/mol of formula units. Its density is 5.4 g/cm³. Its total magnetic moment is 0.0 μB/cell. The raw formation energy comes out at -1.2 eV/f.u.

a = 3.323 Å, b = 3.323 Å, c = 35.720 Å
α = 90.00°, β = 90.00°, γ = 120.00°
Atoms (fractional coordinates):
Nb 0.000 0.000 0.000
Nb 0.333 0.667 0.667
Nb 0.667 0.333 0.333
Sn 0.000 0.000 0.500
Sn 0.333 0.667 0.167
Sn 0.667 0.333 0.833
Br 0.000 0.000 0.386
Br 0.000 0.000 0.614
Br 0.333 0.667 0.053
Br 0.333 0.667 0.281
Br 0.667 0.333 0.719
Br 0.667 0.333 0.947

***

4.
Crystalline Ba2GaSn6Au at its relaxed geometry, computed with PBE-GGA.

Computed properties:
The crystal system is trigonal. As for the calculated formation energy: -0.26 eV/atom. Its density is 6.4 g/cm³. Its total magnetic moment is 0.0 μB/cell.

a = 17.575 Å, b = 17.575 Å, c = 17.575 Å
α = 21.75°, β = 21.75°, γ = 21.75°
Atoms (fractional coordinates):
Ba 0.103 0.103 0.103
Ba 0.315 0.315 0.315
Ba 0.685 0.685 0.685
Ba 0.897 0.897 0.897
Ga 0.424 0.424 0.424
Ga 0.576 0.576 0.576
Sn 0.103 0.645 0.645
Sn 0.214 0.214 0.704
Sn 0.214 0.704 0.214
Sn 0.296 0.786 0.786
Sn 0.355 0.355 0.897
Sn 0.355 0.897 0.355
Sn 0.645 0.103 0.645
Sn 0.645 0.645 0.103
Sn 0.704 0.214 0.214
Sn 0.786 0.296 0.786
Sn 0.786 0.786 0.296
Sn 0.897 0.355 0.355
Au 0.000 0.000 0.000
Au 0.500 0.500 0.500

***

5.
Crystalline Tl5Hg2Bi5 at its relaxed geometry, computed with PBE-GGA.

Computed properties:
The crystal system is monoclinic. As for the calculated formation energy: 0.00 eV/atom. Its density is 10.9 g/cm³. Its total magnetic moment is 0.0 μB/cell.

a = 6.680 Å, b = 6.680 Å, c = 11.688 Å
α = 108.00°, β = 108.00°, γ = 50.39°
Atoms (fractional coordinates):
Tl 0.000 0.000 0.000
Tl 0.167 0.167 0.512
Tl 0.251 0.251 0.258
Tl 0.749 0.749 0.742
Tl 0.833 0.833 0.488
Hg 0.073 0.073 0.742
Hg 0.927 0.927 0.258
Bi 0.314 0.314 0.993
Bi 0.436 0.436 0.774
Bi 0.500 0.500 0.500
Bi 0.564 0.564 0.226
Bi 0.686 0.686 0.007

***

6.
Crystalline Ni5Pd2Pt at its relaxed geometry, computed with PBE-GGA.

Computed properties:
The crystal system is orthorhombic. As for the calculated formation energy: 0.38 eV/atom. Its density is 9.8 g/cm³. Its total magnetic moment is 9.3 μB/cell.

a = 2.606 Å, b = 10.800 Å, c = 8.431 Å
α = 90.00°, β = 90.00°, γ = 90.00°
Atoms (fractional coordinates):
Ni 0.250 0.066 0.238
Ni 0.250 0.434 0.238
Ni 0.250 0.636 0.333
Ni 0.250 0.750 0.800
Ni 0.250 0.864 0.333
Ni 0.750 0.136 0.667
Ni 0.750 0.250 0.200
Ni 0.750 0.364 0.667
Ni 0.750 0.566 0.762
Ni 0.750 0.934 0.762
Pd 0.250 0.614 0.039
Pd 0.250 0.886 0.039
Pd 0.750 0.114 0.961
Pd 0.750 0.386 0.961
Pt 0.250 0.250 0.455
Pt 0.750 0.750 0.545

***

7.
Crystalline Ce2Er5Si4 at its relaxed geometry, computed with PBE-GGA.

Computed properties:
The crystal system is monoclinic. Its density is 7.0 g/cm³. Its total magnetic moment is 1.9 μB/cell. The raw formation energy comes out at -2.3 eV/f.u.

a = 12.695 Å, b = 12.695 Å, c = 6.835 Å
α = 94.20°, β = 94.20°, γ = 15.38°
Atoms (fractional coordinates):
Ce 0.097 0.097 0.211
Ce 0.903 0.903 0.789
Er 0.128 0.128 0.708
Er 0.241 0.241 0.258
Er 0.500 0.500 0.500
Er 0.759 0.759 0.742
Er 0.872 0.872 0.292
Si 0.021 0.021 0.851
Si 0.325 0.325 0.994
Si 0.675 0.675 0.006
Si 0.979 0.979 0.149

***

8.
Crystalline YCrRu at its relaxed geometry, computed with PBE-GGA.

Computed properties:
The crystal system is tetragonal. As for the energy above the most stable polymorph in this dataset: 20 kJ/mol of formula units. As for the calculated formation energy: 0.13 eV/atom. Its density is 7.5 g/cm³. Its total magnetic moment is 0.0 μB/cell.

a = 3.091 Å, b = 3.091 Å, c = 11.198 Å
α = 90.00°, β = 90.00°, γ = 90.00°
Atoms (fractional coordinates):
Y 0.000 0.000 0.000
Y 0.500 0.500 0.500
Cr 0.000 0.000 0.699
Cr 0.500 0.500 0.199
Ru 0.000 0.000 0.297
Ru 0.500 0.500 0.797

***

- total magnetic moment of number 1 (CaLuInPd)?
  0.0 μB/cell